[1]
DyHoSc2S4: relaxed, PBE-GGA.

Cell and atoms, written as POSCAR:
```
DyHoSc2S4
1.0
-3.754 -0.279 0.216
0.515 -2.123 6.218
-0.150 5.173 4.074
Ho Dy S Sc
1 1 4 2
Direct
0.000 0.500 0.500
0.500 0.500 0.000
0.500 0.765 0.246
0.000 0.235 0.256
0.000 0.765 0.744
0.500 0.235 0.754
0.500 0.000 0.500
0.000 0.000 0.000
```

Results
formation energy (no corrections) = -1.92 eV/atom
magnetization = 0.0 μB per formula unit

[2]
Li6Si2Au: relaxed, PBE-GGA.

Cell and atoms, written as POSCAR:
```
Li6Si2Au
1.0
5.036 -0.060 -0.501
-0.575 4.991 -0.622
-0.069 0.044 5.062
Li Au Si
6 1 2
Direct
0.171 0.500 0.829
0.500 0.829 0.171
0.500 0.171 0.829
0.829 0.171 0.500
0.829 0.500 0.171
0.171 0.829 0.500
0.000 0.000 0.000
0.670 0.670 0.670
0.330 0.330 0.330
```

Results
formation energy (no corrections) = -0.34 eV/atom
magnetization = 0.0 μB per formula unit

[3]
LiTaFe2: relaxed, PBE-GGA.

Cell and atoms, written as POSCAR:
```
LiTaFe2
1.0
8.579 0.124 0.073
8.069 2.916 0.073
8.069 1.474 2.517
Fe Ta Li
2 1 1
Direct
0.497 0.497 0.497
0.003 0.003 0.003
0.750 0.750 0.750
0.250 0.250 0.250
```

Results
energy relative to the elements = 1.5 eV per formula unit
magnetization = 3.5 μB per formula unit

[4]
ZrInPd2N: relaxed, PBE-GGA.

Cell and atoms, written as POSCAR:
```
ZrInPd2N
1.0
-4.516 1.412 -1.149
0.152 -3.293 -4.641
-1.816 -3.712 2.574
In Zr Pd N
1 1 2 1
Direct
0.000 0.500 0.000
0.000 0.000 0.000
0.500 0.000 0.000
0.000 0.000 0.500
0.500 0.500 0.500
```

Results
formation energy (no corrections) = 1.84 eV/atom
magnetization = 0.0 μB per formula unit